(1)
This record from the Alexandria database describes an optimized crystal structure of SrPu2PdO8. The functional is PBE.

## Properties
* V: 307.5 Å³ per cell
* size of the total moment: 2.2 μB/f.u.
* density: 8.75 Mg/m³
* energy: -8.271 eV/atom

CIF file:
```
data_SrPu2PdO8
_space_group_name_H-M_alt 'I -4'
_space_group_IT_number 82
_space_group_name_Hall 'I -4'
_cell_length_a 5.4173
_cell_length_b 5.4173
_cell_length_c 10.4776
_cell_angle_alpha 90.00
_cell_angle_beta 90.00
_cell_angle_gamma 90.00
loop_
_atom_site_label
_atom_site_fract_x
_atom_site_fract_y
_atom_site_fract_z
Sr1 0.0000 0.0000 0.0000
Pu1 0.0000 0.0000 0.5000
Pu2 0.0000 0.5000 0.7500
Pd1 0.0000 0.5000 0.2500
O1 0.2220 0.7577 0.6285
O2 0.2232 0.2410 0.6291
```

(2)
This record from the Alexandria database describes an optimized crystal structure of Cs2Sm2HfSe6. The functional is PBE.

## Properties
* V: 769.1 Å³ per cell
* size of the total moment: 0.0 μB/f.u.
* density: 5.26 Mg/m³
* energy: -5.459 eV/atom

CIF file:
```
data_Cs2Sm2HfSe6
_space_group_name_H-M_alt 'C 1 2/m 1'
_space_group_IT_number 12
_space_group_name_Hall '-C 2y'
_cell_length_a 7.2282
_cell_length_b 12.4132
_cell_length_c 8.9330
_cell_angle_alpha 90.00
_cell_angle_beta 106.35
_cell_angle_gamma 90.00
loop_
_atom_site_label
_atom_site_fract_x
_atom_site_fract_y
_atom_site_fract_z
Cs1 0.0000 0.1715 0.0000
Sm1 0.0000 0.3330 0.5000
Hf1 0.0000 0.0000 0.5000
Se1 0.2196 0.1546 0.6827
Se2 0.2459 0.0000 0.3188
```

(3)
This record from the Alexandria database describes an optimized crystal structure of Dy6IrSe5. The functional is PBE.

## Properties
* V: 591.1 Å³ per cell
* size of the total moment: 0.0 μB/f.u.
* density: 8.78 Mg/m³
* energy: -6.128 eV/atom

CIF file:
```
data_Dy6IrSe5
_space_group_name_H-M_alt 'C 1 2/m 1'
_space_group_IT_number 12
_space_group_name_Hall '-C 2y'
_cell_length_a 7.1443
_cell_length_b 12.3641
_cell_length_c 7.1050
_cell_angle_alpha 90.00
_cell_angle_beta 109.64
_cell_angle_gamma 90.00
loop_
_atom_site_label
_atom_site_fract_x
_atom_site_fract_y
_atom_site_fract_z
Dy1 0.2329 0.0000 0.2605
Dy2 0.2338 0.1569 0.7349
Ir1 0.0000 0.0000 0.5000
Se1 0.0000 0.1762 0.0000
Se2 0.0000 0.3348 0.5000
Se3 0.0000 0.5000 0.0000
```

(4)
This record from the Alexandria database describes an optimized crystal structure of Pa2SiBr2. The functional is PBE.

## Properties
* V: 450.6 Å³ per cell
* size of the total moment: 0.0 μB/f.u.
* density: 7.19 Mg/m³
* energy: -6.465 eV/atom

CIF file:
```
data_Pa2SiBr2
_space_group_name_H-M_alt 'R -3 m'
_space_group_IT_number 166
_space_group_name_Hall '-R 3 2"'
_cell_length_a 4.0545
_cell_length_b 4.0545
_cell_length_c 31.6516
_cell_angle_alpha 90.00
_cell_angle_beta 90.00
_cell_angle_gamma 120.00
loop_
_atom_site_label
_atom_site_fract_x
_atom_site_fract_y
_atom_site_fract_z
Pa1 0.0000 0.0000 0.1193
Si1 0.0000 0.0000 0.5000
Br1 0.0000 0.0000 0.2744
```

(5)
This record from the Alexandria database describes an optimized crystal structure of K2BaInF8. The functional is PBE.

## Properties
* V: 221.4 Å³ per cell
* size of the total moment: 1.1 μB/f.u.
* density: 3.62 Mg/m³
* energy: -4.551 eV/atom

CIF file:
```
data_K2BaInF8
_space_group_name_H-M_alt 'P 1 2/m 1'
_space_group_IT_number 10
_space_group_name_Hall '-P 2y'
_cell_length_a 4.6204
_cell_length_b 7.9852
_cell_length_c 6.0078
_cell_angle_alpha 90.00
_cell_angle_beta 92.61
_cell_angle_gamma 90.00
loop_
_atom_site_label
_atom_site_fract_x
_atom_site_fract_y
_atom_site_fract_z
K1 0.0000 0.2344 0.0000
Ba1 0.5000 0.5000 0.5000
In1 0.5000 0.0000 0.5000
F1 0.0027 0.5000 0.7347
F2 0.0754 0.0000 0.3302
F3 0.4565 0.2001 0.7270
```

(6)
This record from the Alexandria database describes an optimized crystal structure of CaTbSi2Pt5. The functional is PBE.

## Properties
* V: 187.9 Å³ per cell
* size of the total moment: 0.0 μB/f.u.
* density: 10.87 Mg/m³
* energy: -6.202 eV/atom

CIF file:
```
data_CaTbSi2Pt5
_space_group_name_H-M_alt 'P 4/m m m'
_space_group_IT_number 123
_space_group_name_Hall '-P 4 2'
_cell_length_a 4.0607
_cell_length_b 4.0607
_cell_length_c 11.3985
_cell_angle_alpha 90.00
_cell_angle_beta 90.00
_cell_angle_gamma 90.00
loop_
_atom_site_label
_atom_site_fract_x
_atom_site_fract_y
_atom_site_fract_z
Ca1 0.0000 0.0000 0.0000
Tb1 0.0000 0.0000 0.5000
Si1 0.5000 0.5000 0.2044
Pt1 0.0000 0.5000 0.3126
Pt2 0.5000 0.5000 0.0000
```